(1)
Tb2MgSc3 (PBE, optimized geometry); ΔH_f (0 K) = 59 meV/atom; size of the total moment = 0.00 Bohr magnetons per cell; symmetry = C2/m
1.0
8.001 -2.643 0.000
8.001 2.643 0.000
-5.371 0.000 7.586
Tb Mg Sc
4 2 6
direct
0.040 0.040 0.362 Tb
0.308 0.308 0.630 Tb
0.692 0.692 0.370 Tb
0.960 0.960 0.638 Tb
0.382 0.382 0.361 Mg
0.618 0.618 0.639 Mg
0.134 0.134 0.124 Sc
0.212 0.212 0.872 Sc
0.443 0.443 0.094 Sc
0.557 0.557 0.906 Sc
0.788 0.788 0.128 Sc
0.866 0.866 0.876 Sc



(2)
TbMg4Sc (PBE, optimized geometry); ΔH_f (0 K) = -32 meV/atom; size of the total moment = 0.21 Bohr magnetons per cell; symmetry = C2/m
1.0
6.904 -1.656 0.000
6.904 1.656 0.000
-1.594 0.000 6.469
Tb Mg Sc
1 4 1
direct
0.000 0.000 0.000 Tb
0.327 0.327 0.171 Mg
0.331 0.331 0.657 Mg
0.669 0.669 0.343 Mg
0.673 0.673 0.829 Mg
0.000 0.000 0.500 Sc



(3)
Tb3MgSc4 (PBE, optimized geometry); ΔH_f (0 K) = 16 meV/atom; size of the total moment = 0.00 Bohr magnetons per cell; symmetry = Pmn2_1
1.0
10.757 0.000 0.000
0.000 6.865 0.000
0.000 0.000 5.844
Tb Mg Sc
6 2 8
direct
0.000 0.134 0.000 Tb
0.245 0.131 0.357 Tb
0.255 0.869 0.857 Tb
0.500 0.866 0.500 Tb
0.745 0.869 0.857 Tb
0.755 0.131 0.357 Tb
0.000 0.863 0.506 Mg
0.500 0.137 0.006 Mg
0.000 0.391 0.526 Sc
0.000 0.616 0.014 Sc
0.246 0.619 0.355 Sc
0.254 0.381 0.855 Sc
0.500 0.384 0.514 Sc
0.500 0.609 0.026 Sc
0.746 0.381 0.855 Sc
0.754 0.619 0.355 Sc



(4)
Tb2Mg3Sc (PBE, optimized geometry); ΔH_f (0 K) = -62 meV/atom; size of the total moment = 0.00 Bohr magnetons per cell; symmetry = P4/mmm
1.0
3.729 0.000 0.000
0.000 3.729 0.000
0.000 0.000 11.228
Tb Mg Sc
2 3 1
direct
0.000 0.000 0.173 Tb
0.000 0.000 0.827 Tb
0.500 0.500 0.000 Mg
0.500 0.500 0.349 Mg
0.500 0.500 0.651 Mg
0.000 0.000 0.500 Sc



(5)
TbMgSc4 (PBE, optimized geometry); ΔH_f (0 K) = 15 meV/atom; size of the total moment = 0.00 Bohr magnetons per cell; symmetry = P4/mmm
1.0
3.338 0.000 0.000
0.000 3.338 0.000
0.000 0.000 13.663
Tb Mg Sc
1 1 4
direct
0.000 0.000 0.000 Tb
0.500 0.500 0.500 Mg
0.000 0.000 0.341 Sc
0.000 0.000 0.659 Sc
0.500 0.500 0.179 Sc
0.500 0.500 0.821 Sc



(6)
Tb4Mg7Sc (PBE, optimized geometry); ΔH_f (0 K) = 147 meV/atom; size of the total moment = 0.00 Bohr magnetons per cell; symmetry = C2/m
1.0
5.564 -2.793 0.000
5.564 2.793 0.000
-4.679 0.000 10.559
Tb Mg Sc
4 7 1
direct
0.054 0.054 0.346 Tb
0.346 0.346 0.217 Tb
0.654 0.654 0.783 Tb
0.946 0.946 0.654 Tb
0.000 0.000 0.000 Mg
0.208 0.208 0.924 Mg
0.278 0.278 0.697 Mg
0.367 0.367 0.491 Mg
0.633 0.633 0.509 Mg
0.722 0.722 0.303 Mg
0.792 0.792 0.076 Mg
0.500 0.500 0.000 Sc



(7)
TbMg6Sc3 (PBE, optimized geometry); ΔH_f (0 K) = -39 meV/atom; size of the total moment = 0.03 Bohr magnetons per cell; symmetry = P2_1/m
1.0
8.927 0.000 0.000
0.000 5.122 0.000
-2.995 0.000 10.469
Tb Mg Sc
2 12 6
direct
0.054 0.250 0.399 Tb
0.946 0.750 0.601 Tb
0.055 0.750 0.907 Mg
0.152 0.750 0.201 Mg
0.158 0.250 0.710 Mg
0.262 0.750 0.504 Mg
0.357 0.250 0.300 Mg
0.451 0.750 0.100 Mg
0.549 0.250 0.900 Mg
0.643 0.750 0.700 Mg
0.738 0.250 0.496 Mg
0.842 0.750 0.290 Mg
0.848 0.250 0.799 Mg
0.945 0.250 0.093 Mg
0.255 0.250 0.003 Sc
0.352 0.750 0.803 Sc
0.453 0.250 0.606 Sc
0.547 0.750 0.394 Sc
0.648 0.250 0.197 Sc
0.745 0.750 0.997 Sc



(8)
TbMg4Sc (PBE, optimized geometry); ΔH_f (0 K) = -35 meV/atom; size of the total moment = 0.00 Bohr magnetons per cell; symmetry = Immm
1.0
-2.580 3.207 4.486
2.580 -3.207 4.486
2.580 3.207 -4.486
Tb Mg Sc
1 4 1
direct
0.000 0.000 0.000 Tb
0.085 0.334 0.752 Mg
0.418 0.666 0.752 Mg
0.582 0.334 0.248 Mg
0.915 0.666 0.248 Mg
0.500 0.000 0.500 Sc



(9)
Tb6MgSc2 (PBE, optimized geometry); ΔH_f (0 K) = 42 meV/atom; size of the total moment = 0.00 Bohr magnetons per cell; symmetry = P4_2/mnm
1.0
10.320 0.000 0.000
0.000 10.320 0.000
0.000 0.000 4.963
Tb Mg Sc
12 2 4
direct
0.003 0.331 0.000 Tb
0.159 0.841 0.500 Tb
0.169 0.503 0.500 Tb
0.331 0.003 0.000 Tb
0.341 0.341 0.000 Tb
0.497 0.831 0.500 Tb
0.503 0.169 0.500 Tb
0.659 0.659 0.000 Tb
0.669 0.997 0.000 Tb
0.831 0.497 0.500 Tb
0.841 0.159 0.500 Tb
0.997 0.669 0.000 Tb
0.000 0.000 0.000 Mg
0.500 0.500 0.500 Mg
0.174 0.174 0.500 Sc
0.326 0.674 0.000 Sc
0.674 0.326 0.000 Sc
0.826 0.826 0.500 Sc



(10)
Tb2MgSc2 (PBE, optimized geometry); ΔH_f (0 K) = 31 meV/atom; size of the total moment = 0.00 Bohr magnetons per cell; symmetry = C2/m
1.0
5.712 -2.687 0.000
5.712 2.687 0.000
-2.604 0.000 8.890
Tb Mg Sc
4 2 4
direct
0.061 0.061 0.346 Tb
0.258 0.258 0.755 Tb
0.742 0.742 0.245 Tb
0.939 0.939 0.654 Tb
0.365 0.365 0.444 Mg
0.635 0.635 0.556 Mg
0.142 0.142 0.032 Sc
0.436 0.436 0.139 Sc
0.564 0.564 0.861 Sc
0.858 0.858 0.968 Sc



(11)
Tb6Mg5Sc (PBE, optimized geometry); ΔH_f (0 K) = -47 meV/atom; size of the total moment = 0.00 Bohr magnetons per cell; symmetry = Immm
1.0
-2.679 3.831 8.067
2.679 -3.831 8.067
2.679 3.831 -8.067
Tb Mg Sc
6 5 1
direct
0.083 0.334 0.749 Tb
0.249 0.000 0.249 Tb
0.415 0.666 0.749 Tb
0.585 0.334 0.251 Tb
0.751 0.000 0.751 Tb
0.917 0.666 0.251 Tb
0.000 0.500 0.500 Mg
0.167 0.167 0.000 Mg
0.336 0.836 0.500 Mg
0.664 0.164 0.500 Mg
0.833 0.833 0.000 Mg
0.500 0.500 0.000 Sc



(12)
Tb6Mg2Sc (PBE, optimized geometry); ΔH_f (0 K) = 495 meV/atom; size of the total moment = 0.01 Bohr magnetons per cell; symmetry = I4/mmm
1.0
-2.646 2.646 10.985
2.646 -2.646 10.985
2.646 2.646 -10.985
Tb Mg Sc
6 2 1
direct
0.082 0.582 0.500 Tb
0.250 0.750 0.500 Tb
0.418 0.918 0.500 Tb
0.582 0.082 0.500 Tb
0.750 0.250 0.500 Tb
0.918 0.418 0.500 Tb
0.167 0.167 0.000 Mg
0.833 0.833 0.000 Mg
0.500 0.500 0.000 Sc



(13)
Tb2MgSc8 (PBE, optimized geometry); ΔH_f (0 K) = 152 meV/atom; size of the total moment = 0.00 Bohr magnetons per cell; symmetry = P4/mmm
1.0
4.699 0.000 0.000
0.000 4.699 0.000
0.000 0.000 13.323
Tb Mg Sc
2 1 8
direct
0.000 0.000 0.182 Tb
0.000 0.000 0.818 Tb
0.000 0.000 0.500 Mg
0.000 0.500 0.000 Sc
0.000 0.500 0.351 Sc
0.000 0.500 0.649 Sc
0.500 0.000 0.000 Sc
0.500 0.000 0.351 Sc
0.500 0.000 0.649 Sc
0.500 0.500 0.177 Sc
0.500 0.500 0.823 Sc



(14)
Tb3MgSc (PBE, optimized geometry); ΔH_f (0 K) = 25 meV/atom; size of the total moment = 0.00 Bohr magnetons per cell; symmetry = P-1
1.0
6.287 0.000 0.000
2.558 5.743 0.000
2.240 1.430 8.066
Tb Mg Sc
6 2 2
direct
0.155 0.153 0.390 Tb
0.195 0.694 0.224 Tb
0.304 0.806 0.777 Tb
0.696 0.194 0.223 Tb
0.805 0.306 0.776 Tb
0.845 0.847 0.610 Tb
0.254 0.253 0.985 Mg
0.746 0.747 0.015 Mg
0.352 0.353 0.594 Sc
0.648 0.647 0.406 Sc



(15)
Tb3MgSc2 (PBE, optimized geometry); ΔH_f (0 K) = 9 meV/atom; size of the total moment = 0.00 Bohr magnetons per cell; symmetry = P4/mmm
1.0
3.532 0.000 0.000
0.000 3.532 0.000
0.000 0.000 13.475
Tb Mg Sc
3 1 2
direct
0.000 0.000 0.000 Tb
0.000 0.000 0.335 Tb
0.000 0.000 0.665 Tb
0.500 0.500 0.500 Mg
0.500 0.500 0.168 Sc
0.500 0.500 0.832 Sc



(16)
TbMgSc5 (PBE, optimized geometry); ΔH_f (0 K) = 226 meV/atom; size of the total moment = 0.00 Bohr magnetons per cell; symmetry = P4/mmm
1.0
4.719 0.000 0.000
0.000 4.719 0.000
0.000 0.000 8.524
Tb Mg Sc
1 1 5
direct
0.000 0.000 0.000 Tb
0.500 0.500 0.500 Mg
0.000 0.500 0.271 Sc
0.000 0.500 0.729 Sc
0.500 0.000 0.271 Sc
0.500 0.000 0.729 Sc
0.500 0.500 0.000 Sc



(17)
TbMg2Sc (PBE, optimized geometry); ΔH_f (0 K) = 59 meV/atom; size of the total moment = 0.00 Bohr magnetons per cell; symmetry = R3m
1.0
1.656 0.956 10.950
-1.656 0.956 10.950
0.000 -1.913 10.950
Tb Mg Sc
1 2 1
direct
0.000 0.000 0.000 Tb
0.581 0.581 0.581 Mg
0.755 0.755 0.755 Mg
0.169 0.169 0.169 Sc



(18)
Tb2Mg2Sc7 (PBE, optimized geometry); ΔH_f (0 K) = 175 meV/atom; size of the total moment = 0.00 Bohr magnetons per cell; symmetry = C2/m
1.0
5.371 -5.329 0.000
5.371 5.329 0.000
-1.909 0.000 5.016
Tb Mg Sc
2 2 7
direct
0.215 0.785 0.000 Tb
0.785 0.215 0.000 Tb
0.417 0.417 0.710 Mg
0.583 0.583 0.290 Mg
0.000 0.000 0.500 Sc
0.032 0.600 0.324 Sc
0.232 0.232 0.130 Sc
0.400 0.968 0.676 Sc
0.600 0.032 0.324 Sc
0.768 0.768 0.870 Sc
0.968 0.400 0.676 Sc



(19)
Tb15MgSc4 (PBE, optimized geometry); ΔH_f (0 K) = 31 meV/atom; size of the total moment = 0.00 Bohr magnetons per cell; symmetry = P4/mmm
1.0
4.921 0.000 0.000
0.000 4.921 0.000
0.000 0.000 24.677
Tb Mg Sc
15 1 4
direct
0.000 0.000 0.000 Tb
0.000 0.000 0.199 Tb
0.000 0.000 0.400 Tb
0.000 0.000 0.600 Tb
0.000 0.000 0.801 Tb
0.000 0.500 0.101 Tb
0.000 0.500 0.300 Tb
0.000 0.500 0.500 Tb
0.000 0.500 0.700 Tb
0.000 0.500 0.899 Tb
0.500 0.000 0.101 Tb
0.500 0.000 0.300 Tb
0.500 0.000 0.500 Tb
0.500 0.000 0.700 Tb
0.500 0.000 0.899 Tb
0.500 0.500 0.000 Mg
0.500 0.500 0.200 Sc
0.500 0.500 0.400 Sc
0.500 0.500 0.600 Sc
0.500 0.500 0.800 Sc



(20)
TbMg3Sc (PBE, optimized geometry); ΔH_f (0 K) = 61 meV/atom; size of the total moment = 0.00 Bohr magnetons per cell; symmetry = P2_1/m
1.0
5.331 0.000 0.000
0.000 6.409 0.000
-2.530 0.000 7.401
Tb Mg Sc
2 6 2
direct
0.108 0.250 0.198 Tb
0.892 0.750 0.802 Tb
0.117 0.750 0.258 Mg
0.309 0.507 0.620 Mg
0.309 0.993 0.620 Mg
0.691 0.007 0.380 Mg
0.691 0.493 0.380 Mg
0.883 0.250 0.742 Mg
0.499 0.750 0.027 Sc
0.501 0.250 0.973 Sc